Compound: RbPtF
Source: Alexandria
Functional: GGA-PBE
Structure: optimized geometry

space group	P6_3/mmc, No. 194
offset from the most stable computed form	654.4	meV per atom
crystal system	hexagonal
formation energy from raw total energies	-0.6922	eV per atom
total DFT energy (no corrections)	-3.652	eV per atom

a b c (Å): 5.0800 5.0800 8.2178
angles (deg): 90.00 90.00 120.00
Fractional positions:
F1 0.0000 0.0000 0.2500
Pt1 0.0000 0.0000 0.5000
Rb1 0.3333 0.6667 0.2500
Pt2 0.0000 0.0000 0.0000
Rb2 0.6667 0.3333 0.7500
F2 0.0000 0.0000 0.7500

=====

Compound: SrMn2Tl
Source: Alexandria
Functional: GGA-PBE
Structure: optimized geometry

space group	P2/m, No. 10
offset from the most stable computed form	157.2	meV per atom
crystal system	monoclinic
ΔH_f (0 K)	545	meV/atom
total DFT energy (no corrections)	-5.051	eV per atom

a b c (Å): 4.7747 3.3981 6.4079
angles (deg): 78.40 90.00 90.00
Site moments in Bohr magnetons follow the coordinates.
Fractional positions:
Sr1 0.5000 0.2500 0.2500  -0.03
Mn1 0.0000 0.9325 0.9356  3.82
Tl1 0.5000 0.7500 0.7500  -0.08
Mn2 0.0000 0.5675 0.5644  3.82

=====

Compound: Pm2NbWN5
Source: Alexandria
Functional: GGA-PBE
Structure: optimized geometry

space group	Cmc2_1, No. 36
crystal system	orthorhombic
formation energy from raw total energies	-1.0572	eV per atom
total DFT energy (no corrections)	-9.296	eV per atom

a b c (Å): 3.3632 6.8835 10.5877
angles (deg): 90.00 90.00 104.14
Fractional positions:
N1 0.5119 0.0237 0.2862
W1 0.5272 0.0544 0.9598
N2 0.2805 0.5610 0.6458
Nb1 0.7787 0.5574 0.5146
W2 0.4728 0.9456 0.4598
N3 0.9521 0.9043 0.5491
N4 0.7195 0.4390 0.1458
N5 0.6279 0.2558 0.5009
Pm1 0.8930 0.7859 0.1910
N6 0.0479 0.0957 0.0491
Nb2 0.2213 0.4426 0.0146
Pm2 0.1494 0.2989 0.2948
Pm3 0.1070 0.2141 0.6910
Pm4 0.8506 0.7011 0.7948
N7 0.3721 0.7442 0.0009
N8 0.6777 0.3553 0.8817
N9 0.4881 0.9763 0.7862
N10 0.3223 0.6447 0.3817